TbGdCSe: optimized geometry, PBE.

Its energy is -52.95 eV for the cell shown. The value obtained for the magnetization is 0.0 μB/cell. Its crystal system is hexagonal.

a = 3.7957 Å, b = 3.7957 Å, c = 13.4057 Å
α = 90.00°, β = 90.00°, γ = 120.00°
With the nearest neighbours (Å) after each atom.
Fractional coordinates of all 8 atoms:
C 0.0000 0.0000 0.4995  3 Tb 2.57, 3 Gd 2.58
C 0.0000 0.0000 0.9995  3 Tb 2.57, 3 Gd 2.58
Gd 0.3333 0.6667 0.1006  3 C 2.58
Gd 0.6667 0.3333 0.6006  3 C 2.58
Se 0.6667 0.3333 0.2508  3 Tb 2.96, 3 Gd 2.98
Se 0.3333 0.6667 0.7508  3 Tb 2.96, 3 Gd 2.98
Tb 0.3333 0.6667 0.3991  3 C 2.57
Tb 0.6667 0.3333 0.8991  3 C 2.57